Entry 1:
2
Lattice="2.6838 0.0003 0.0000 -0.9302 2.5174 0.0000 0.0000 0.0000 4.2474" Properties=species:S:1:pos:R:3 comment="VW, single point on PBEsol structure, DFT SCAN" e_tot_ev_per_cell=-87.367 space_group=Cmmm ef_ev_per_atom=-0.095 pbc="T T T"
V 0.0000 0.0000 0.0000
W 0.8768 1.2588 2.1237

=====

Entry 2:
6
Lattice="-1.9489 4.7244 -1.1531 -2.2069 -4.2916 -2.0395 -4.6551 1.4404 1.9243" Properties=species:S:1:pos:R:3 comment="ZrVW, single point on PBEsol structure, DFT SCAN" e_tot_ev_per_cell=-236.379 space_group=Imma ef_ev_per_atom=-0.105 pbc="T T T"
V -3.4310 -1.4256 -0.0576
W -0.9745 2.3622 -0.5766
Zr -3.4234 1.0423 -1.8981
V -3.3020 3.0824 0.3856
Zr -5.3875 0.8309 0.6298
W -2.3276 0.7202 0.9622

=====

Entry 3:
4
Lattice="-0.3150 -2.2307 -3.8286 2.6009 -3.5250 -0.7374 -1.7533 -4.0813 -0.0550" Properties=species:S:1:pos:R:3 comment="ZrV2W, single point on PBEsol structure, DFT SCAN" e_tot_ev_per_cell=-134.838 space_group=Fm-3m ef_ev_per_atom=0.131 pbc="T T T"
Zr 0.0000 0.0000 0.0000
W 0.2663 -4.9185 -2.3105
V 0.3994 -7.3777 -3.4657
V 0.1331 -2.4592 -1.1552

=====

Entry 4:
4
Lattice="-2.7709 1.7961 -1.7980 -0.0096 -2.6673 -2.6498 -2.5413 -1.9483 1.9703" Properties=species:S:1:pos:R:3 comment="VZn3, single point on PBEsol structure, DFT SCAN" e_tot_ev_per_cell=-58.478 space_group=Pm-3m ef_ev_per_atom=-0.111 pbc="T T T"
Zn -2.6561 -0.0761 0.0862
V 0.0000 0.0000 0.0000
Zn -1.2755 -2.3078 -0.3398
Zn -1.3902 -0.4356 -2.2239

=====

Entry 5:
6
Lattice="-0.0950 -1.6528 4.8497 4.3295 -0.1633 2.7366 0.7250 3.3055 3.8481" Properties=species:S:1:pos:R:3 comment="ZrV2, single point on PBEsol structure, DFT SCAN" e_tot_ev_per_cell=-130.952 space_group=Fd-3m ef_ev_per_atom=0.066 pbc="T T T"
Zr 2.4797 0.7447 5.7172
V 0.9824 1.8389 3.3534
V 0.5724 -0.6402 3.8541
V 0.6199 0.1862 1.4293
Zr 3.7196 1.1171 8.5758
V 2.7847 0.1046 2.7976

=====

Entry 6:
8
Lattice="-2.7895 -4.1609 0.4753 2.4257 -1.1397 4.2589 -3.4140 2.5901 2.6376" Properties=species:S:1:pos:R:3 comment="W, single point on PBEsol structure, DFT SCAN" e_tot_ev_per_cell=-556.624 space_group=Pm-3n e_above_lowest_polymorph_ev_per_atom=0.110 ef_ev_per_atom=0.110 pbc="T T T"
W -2.4044 0.2548 1.4376
W -3.7991 -1.8257 1.6753
W 0.4245 -2.9353 3.4318
W -0.7883 -2.3654 1.3024
W -1.3476 1.3727 4.1076
W -1.8889 -1.3553 3.6859
W 0.0000 0.0000 0.0000
W 0.3594 0.0777 2.7888